1.
An optimized crystal structure of RbCaB3. Source: the Alexandria database, functional GGA-PBE.

The energy above the most stable polymorph in this dataset comes out at 0.000 eV per formula unit. The calculated density comes out at 1.91 Mg/m³. The calculation puts the formation energy at 2.225 eV per atom.

extended XYZ file:
```
5
Lattice="5.156 0.000 0.000 0.000 5.156 0.000 0.000 0.000 5.156" Properties=species:S:1:pos:R:3 pbc="T T T"
Ca 0.000 0.000 0.000
B 0.000 2.578 0.000
B 0.000 0.000 2.578
B 2.578 0.000 0.000
Rb 2.578 2.578 2.578
```



2.
An optimized crystal structure of Rb3CaB. Source: the Alexandria database, functional GGA-PBE.

The energy above the most stable polymorph in this dataset comes out at 0.000 eV per formula unit. The calculated density comes out at 1.79 Mg/m³. The calculation puts the formation energy at 0.908 eV per atom.

extended XYZ file:
```
5
Lattice="6.582 0.000 0.000 0.000 6.582 0.000 0.000 0.000 6.582" Properties=species:S:1:pos:R:3 pbc="T T T"
Ca 3.291 3.291 3.291
B 0.000 0.000 0.000
Rb 0.000 3.291 0.000
Rb 0.000 0.000 3.291
Rb 3.291 0.000 0.000
```



3.
An optimized crystal structure of RbCa3B. Source: the Alexandria database, functional GGA-PBE.

The energy above the most stable polymorph in this dataset comes out at 8.262 eV per formula unit. The calculated density comes out at 1.49 Mg/m³. The calculation puts the formation energy at 2.000 eV per atom.

extended XYZ file:
```
5
Lattice="6.223 0.000 0.000 0.000 6.223 0.000 0.000 0.000 6.223" Properties=species:S:1:pos:R:3 pbc="T T T"
Ca 0.000 3.112 0.000
Ca 0.000 0.000 3.112
Ca 3.112 0.000 0.000
B 3.112 3.112 3.112
Rb 0.000 0.000 0.000
```